## CrAs2PbO8 (PBE with a Hubbard U)

Data for a relaxed structure of CrAs2PbO8.

## Properties
**Raw total energy**: -6.143 eV per atom
**Space group**: R32

```
CrAs2PbO8
1.0
4.891 0.000 0.000
2.445 4.235 0.000
2.445 1.412 7.940
Cr As Pb O
1 2 1 8
Cartesian
4.891 2.824 3.970
7.336 4.235 5.743
2.445 1.412 2.196
0.000 0.000 0.000
7.336 4.235 7.458
2.445 1.412 0.482
4.100 1.531 2.668
6.406 2.862 5.272
4.100 4.117 5.272
4.166 4.155 2.668
6.406 2.786 2.668
4.166 1.493 5.272
```